Below is crystalline SrYTc2 at its relaxed geometry, with properties calculated at the PBE level.

Unit cell a=7.978 b=7.978 c=6.358 alpha=51.14 beta=51.14 gamma=90.00
Sites, in units of the cell vectors:
Tc (0.375, 0.364, 0.750)
Tc (0.636, 0.125, 0.250)
Tc (0.114, 0.625, 0.250)
Tc (0.875, 0.886, 0.750)
Sr (0.500, 0.500, 0.000)
Sr (0.250, 0.750, 0.500)
Y (0.000, 0.000, 0.000)
Y (0.750, 0.250, 0.500)

- space group = I-42d (122)
- energy above the most stable polymorph in this dataset (eV per atom) = 0.914
- M_tot (μB/f.u.) = 2.46
- energy relative to the elements (eV per atom) = 1.17
- density (kg/m³) = 6629
- calculated volume (A^3/atom) = 23.33
- N(E_F) (states/eV/f.u.) = 4.99